Record 1
Compound: KRbAgBr
Source: Alexandria via LeMat-Bulk
Functional: GGA-PBE
Structure: relaxed

- energy relative to the elements, uncorrected (meV/atom) = -735

abc: 5.9487 5.9487 5.9487
angles: 60.00 60.00 60.00
Element x y z (fractional)
K 0.0000 0.0000 0.0000
Rb 0.5000 0.5000 0.5000
Ag 0.2500 0.2500 0.2500
Br 0.7500 0.7500 0.7500


Record 2
Compound: KRbAgBr3
Source: Alexandria via LeMat-Bulk
Functional: GGA-PBE
Structure: relaxed

- energy relative to the elements, uncorrected (meV/atom) = -1271

abc: 9.8725 4.5970 10.4479
angles: 90.00 101.45 90.00
Element x y z (fractional)
K 0.1507 0.2500 0.1545
K 0.8493 0.7500 0.8455
Rb 0.3163 0.7500 0.7928
Rb 0.6837 0.2500 0.2072
Ag 0.4164 0.7500 0.4115
Ag 0.5836 0.2500 0.5885
Br 0.0789 0.2500 0.8351
Br 0.2980 0.2500 0.4898
Br 0.4029 0.7500 0.1528
Br 0.5971 0.2500 0.8472
Br 0.7020 0.7500 0.5102
Br 0.9211 0.7500 0.1649


Number 1: M_tot 0.00 μB/f.u., calculated density 3.5 g/cm³. Number 2: M_tot 0.00 μB/f.u., calculated density 3.4 g/cm³.